[1]
A relaxed structure of Ni3HBr, computed with GGA-PBE.

Cell: 4.4125 4.4125 4.4125 Å, 90.00 90.00 90.00°
Site moments in Bohr magnetons follow the coordinates.
Element x y z (fractional)
Ni: 0.0000 0.5000 0.0000  0.55
Ni: 0.0000 0.0000 0.5000  0.39
Ni: 0.5000 0.0000 0.0000  0.66
Br: 0.0000 0.0000 0.0000  0.02
H: 0.5000 0.5000 0.5000  0.23

Summary:
Crystal system   cubic
Space-group type   Pm-3m, No. 221
Energy above the lowest structure with this stoichiometry   926.9 meV/atom

---

[2]
A relaxed structure of AlTlBiAu2, computed with GGA-PBE.

Cell: 5.3137 5.1217 5.3137 Å, 90.00 90.00 90.00°
Element x y z (fractional)
Tl: 0.0000 0.0000 0.0000
Au: 0.0000 0.0000 0.5000
Au: 0.5000 0.0000 0.0000
Bi: 0.5000 0.5000 0.5000
Al: 0.0000 0.5000 0.0000

Summary:
Crystal system   tetragonal
Space-group type   P4/mmm, No. 123

---

[3]
A relaxed structure of La2SmRh, computed with GGA-PBE.

Cell: 3.9226 6.3563 10.1585 Å, 90.00 90.00 107.99°
Element x y z (fractional)
La: 0.3606 0.7207 0.5668
La: 0.6394 0.2793 0.4332
La: 0.3606 0.7207 0.9332
La: 0.6394 0.2793 0.0668
Sm: 0.9136 0.8272 0.2500
Sm: 0.0864 0.1728 0.7500
Rh: 0.7746 0.5498 0.7500
Rh: 0.2254 0.4502 0.2500

Summary:
Crystal system   orthorhombic
Space-group type   Cmcm, No. 63
Energy above the lowest structure with this stoichiometry   29.5 meV/atom

---

[4]
A relaxed structure of Hf2GaPb, computed with GGA-PBE.

Cell: 4.3057 4.4147 4.4147 Å, 90.00 90.00 90.00°
Element x y z (fractional)
Pb: 0.5000 0.0000 0.0000
Hf: 0.0000 0.0000 0.5000
Hf: 0.0000 0.5000 0.0000
Ga: 0.5000 0.5000 0.5000

Summary:
Crystal system   tetragonal
Space-group type   P4/mmm, No. 123
Energy above the lowest structure with this stoichiometry   0.0 meV/atom

---

[5]
A relaxed structure of LaPmSm3, computed with GGA-PBE.

Cell: 6.2271 6.9575 16.2395 Å, 90.00 90.03 90.00°
Element x y z (fractional)
La: 0.7969 0.6444 0.2502
La: 0.7031 0.1444 0.2498
La: 0.2031 0.3556 0.7498
La: 0.2969 0.8556 0.7502
Pm: 0.3143 0.4491 0.1438
Pm: 0.1857 0.9491 0.3561
Pm: 0.6857 0.5509 0.8562
Pm: 0.8143 0.0509 0.6439
Sm: 0.1744 0.6711 0.5448
Sm: 0.3256 0.1711 0.9552
Sm: 0.8256 0.3289 0.4552
Sm: 0.6744 0.8289 0.0448
Sm: 0.8159 0.0508 0.8571
Sm: 0.6842 0.5508 0.6429
Sm: 0.1841 0.9492 0.1429
Sm: 0.3158 0.4492 0.3571
Sm: 0.6744 0.8291 0.4549
Sm: 0.8256 0.3291 0.0451
Sm: 0.3256 0.1709 0.5451
Sm: 0.1744 0.6709 0.9549

Summary:
Crystal system   monoclinic
Space-group type   P2_1/c, No. 14
Energy above the lowest structure with this stoichiometry   54.8 meV/atom

---

[6]
A relaxed structure of RbCa2Ni, computed with GGA-PBE.

Cell: 4.1686 4.1686 11.5379 Å, 79.59 79.59 60.00°
Element x y z (fractional)
Ni: 0.5000 0.5000 0.5000
Ca: 0.1237 0.1237 0.6288
Ca: 0.8763 0.8763 0.3712
Rb: 0.0000 0.0000 0.0000

Summary:
Crystal system   trigonal
Space-group type   R-3m, No. 166
Energy above the lowest structure with this stoichiometry   0.0 meV/atom

---

[7]
A relaxed structure of LaTl2Pt, computed with GGA-PBE.

Cell: 5.2624 5.2624 5.1487 Å, 60.69 60.69 58.43°
Element x y z (fractional)
La: 0.5002 0.5002 0.5000
Pt: 0.2505 0.2505 0.2490
Tl: 0.9997 0.9997 0.0006
Tl: 0.7497 0.7497 0.7505

Summary:
Crystal system   orthorhombic
Space-group type   Imm2, No. 44

---

[8]
A relaxed structure of TlZnTe, computed with GGA-PBE.

Cell: 6.3155 9.2864 6.5420 Å, 90.21 90.00 90.00°
Element x y z (fractional)
Te: 0.5002 0.1673 0.7509
Te: 0.0002 0.8327 0.7491
Te: 0.4998 0.8327 0.2491
Te: 0.9998 0.1673 0.2509
Zn: 0.7500 0.9998 0.5008
Zn: 0.7500 0.9998 0.0008
Zn: 0.2500 0.0002 0.4992
Zn: 0.2500 0.0002 0.9992
Tl: 0.2501 0.4996 0.1102
Tl: 0.2499 0.4996 0.6102
Tl: 0.7499 0.5004 0.8898
Tl: 0.7501 0.5004 0.3898

Summary:
Crystal system   monoclinic
Formation energy (no corrections)   -154 meV per atom
Space-group type   P2_1/c, No. 14
Energy above the lowest structure with this stoichiometry   10.9 meV/atom

---

[9]
A relaxed structure of PrNdDyY, computed with GGA-PBE.

Cell: 5.7714 5.7714 5.7714 Å, 60.00 60.00 60.00°
Element x y z (fractional)
Pr: 0.2500 0.2500 0.2500
Y: 0.5000 0.5000 0.5000
Nd: 0.7500 0.7500 0.7500
Dy: 0.0000 0.0000 0.0000

Summary:
Crystal system   cubic
Space-group type   F-43m, No. 216
Energy above the lowest structure with this stoichiometry   87.8 meV/atom

---

[10]
A relaxed structure of ThScTe2, computed with GGA-PBE.

Cell: 4.1180 4.1180 8.1224 Å, 75.32 75.32 60.00°
Element x y z (fractional)
Th: 0.4992 0.4992 0.5023
Sc: 0.6678 0.6678 0.9967
Te: 0.0743 0.0743 0.7771
Te: 0.2587 0.2587 0.2238

Summary:
Crystal system   trigonal
Formation energy (no corrections)   -1086 meV per atom
Space-group type   R3m, No. 160
Energy above the lowest structure with this stoichiometry   0.0 meV/atom

---

[11]
A relaxed structure of Tc2TeCl, computed with GGA-PBE.

Cell: 8.2087 8.2087 8.2087 Å, 22.07 22.07 22.07°
Element x y z (fractional)
Cl: 0.7500 0.7500 0.7500
Tc: 0.9990 0.9990 0.9990
Tc: 0.5010 0.5010 0.5010
Te: 0.2500 0.2500 0.2500

Summary:
Crystal system   trigonal
Formation energy (no corrections)   499 meV per atom
Space-group type   R-3m, No. 166
Energy above the lowest structure with this stoichiometry   530.4 meV/atom

---

[12]
A relaxed structure of Li2LaBe, computed with GGA-PBE.

Cell: 5.9563 5.9563 5.9563 Å, 148.42 128.66 61.54°
Element x y z (fractional)
Be: 0.7500 0.2500 0.5000
La: 0.2500 0.7500 0.5000
Li: 0.9506 0.9506 0.0000
Li: 0.5494 0.5494 0.0000

Summary:
Crystal system   orthorhombic
Space-group type   Immm, No. 71

---

Number 1: total DFT energy (no corrections) -3.1097 eV/atom. Number 2: total DFT energy (no corrections) -2.6035 eV/atom. Number 3: total DFT energy (no corrections) -5.8986 eV/atom. Number 4: total DFT energy (no corrections) -6.7640 eV/atom. Number 5: total DFT energy (no corrections) -4.6970 eV/atom. Number 6: total DFT energy (no corrections) -2.5641 eV/atom. Number 7: total DFT energy (no corrections) -4.3514 eV/atom. Number 8: total DFT energy (no corrections) -2.4149 eV/atom. Number 9: total DFT energy (no corrections) -5.0475 eV/atom. Number 10: total DFT energy (no corrections) -6.0943 eV/atom. Number 11: total DFT energy (no corrections) -5.9313 eV/atom. Number 12: total DFT energy (no corrections) -2.8796 eV/atom.